No. 1
NaCa5Ag6, optimized geometry, DFT PBE; calculated total energy = -2.63 eV/atom; ΔH_f (0 K) = -263 meV/atom; crystal system = orthorhombic
1.0
-2.6248 3.7015 7.8669
2.6248 -3.7015 7.8669
2.6248 3.7015 -7.8669
Na Ca Ag
1 5 6
Cartesian
0.0000 0.0000 0.0000
2.6248 0.0000 2.4869
0.0000 0.0000 5.1761
0.0000 3.7015 0.0000
0.0000 0.0000 10.5578
0.0000 3.7015 5.3800
2.6248 -1.7723 5.1830
2.6248 2.0070 0.0000
0.0000 1.9291 2.6839
2.6248 1.7723 5.1830
0.0000 1.6945 7.8669
0.0000 5.4738 2.6839

No. 2
BaScAs2, optimized geometry, DFT PBE; relative energy among the computed polymorphs = 0.191 eV per atom; calculated total energy = -5.23 eV/atom; ΔH_f (0 K) = -841 meV/atom; crystal system = monoclinic
1.0
7.4105 -1.9524 0.0000
7.4105 1.9524 0.0000
-0.7210 0.0000 3.8366
Ba Sc As
1 1 2
Cartesian
0.0000 0.0000 0.0000
10.9654 0.0000 0.7230
2.4373 0.0000 2.4645
5.2521 0.0000 1.6476

No. 3
SmInOs, optimized geometry, DFT PBE; calculated total energy = -6.40 eV/atom; ΔH_f (0 K) = -176 meV/atom; crystal system = monoclinic
1.0
6.5076 -2.1729 0.0000
6.5076 2.1729 0.0000
-1.2240 0.0000 5.1636
Sm In Os
2 2 2
Cartesian
1.2317 0.0000 1.7009
10.5595 0.0000 3.4627
5.3184 0.0000 1.0904
6.4728 0.0000 4.0733
1.7643 0.0000 4.6568
10.0269 0.0000 0.5068